Entry 1:
## Pa2ReGe (PBE)

Data for a relaxed structure of Pa2ReGe.

The structure belongs to space group P-1 (No. 2); the cell edges are 3.288, 4.122 and 6.152 Å and the angles 89.85°, 84.28° and 89.64°. The asymmetric unit holds Pa at (0.069, 0.002, 0.245), Re at (0.500, 0.500, 0.000) and Ge at (0.500, 0.500, 0.500).

The calculation puts the energy above the lowest structure with this stoichiometry at 0 meV/atom. As for the formation energy: -231 meV per atom. The total energy comes out at -9.245 eV per atom.

Entry 2:
## PaRe4Ge2 (PBE)

Data for a relaxed structure of PaRe4Ge2.

The structure belongs to space group Cmmm (No. 65); the cell edges are 4.165, 14.227 and 4.070 Å and the angles 90.00°, 90.00° and 90.00°. The asymmetric unit holds Pa at (0.000, 0.000, 0.000), Re at (0.000, 0.186, 0.500), Re at (0.000, 0.305, 0.000) and Ge at (0.000, 0.415, 0.500).

As for the formation energy: -251 meV per atom. The total energy comes out at -10.040 eV per atom.

Entry 3:
## PaRe3Ge2 (PBE)

Data for a relaxed structure of PaRe3Ge2.

The structure belongs to space group C2/m (No. 12); the cell edges are 15.284, 4.229 and 7.527 Å and the angles 90.00°, 119.25° and 90.00°. The asymmetric unit holds Pa at (0.143, 0.000, 0.057), Re at (0.046, 0.000, 0.391), Re at (0.092, 0.500, 0.667), Re at (0.205, 0.500, 0.481), Ge at (0.024, 0.500, 0.182) and Ge at (0.204, 0.000, 0.744).

As for the formation energy: -172 meV per atom. The total energy comes out at -9.518 eV per atom.

Entry 4:
## PaReGeRu (PBE)

Data for a relaxed structure of PaReGeRu.

The structure belongs to space group F-43m (No. 216); the cell edges are 6.570, 6.570 and 6.570 Å and the angles 90.00°, 90.00° and 90.00°. The asymmetric unit holds Pa at (0.000, 0.000, 0.000), Re at (0.250, 0.250, 0.250), Ge at (0.000, 0.000, 0.500) and Ru at (0.250, 0.250, 0.750).

As for the formation energy: -105 meV per atom. The total energy comes out at -9.064 eV per atom.

Entry 5:
## Pa3Re2TcGe3 (PBE)

Data for a relaxed structure of Pa3Re2TcGe3.

The structure belongs to space group P-62m (No. 189); the cell edges are 7.1007, 7.1007 and 3.9762 Å and the angles 90.00°, 90.00° and 120.00°. The asymmetric unit holds Pa at (0.0000, 0.4165, 0.0000), Re at (0.3333, 0.6667, 0.5000), Tc at (0.0000, 0.0000, 0.0000) and Ge at (0.0000, 0.7548, 0.5000).

As for the formation energy: -381 meV per atom. The total energy comes out at -9.003 eV per atom.

Entry 6:
## PaVReGe (PBE)

Data for a relaxed structure of PaVReGe.

The structure belongs to space group F-43m (No. 216); the cell edges are 6.512, 6.512 and 6.512 Å and the angles 90.00°, 90.00° and 90.00°. The asymmetric unit holds Pa at (0.000, 0.000, 0.000), V at (0.250, 0.250, 0.750), Re at (0.250, 0.250, 0.250) and Ge at (0.000, 0.000, 0.500).

As for the formation energy: 27 meV per atom. The total energy comes out at -8.893 eV per atom.

Entry 7:
## Pa2Ge3Rh4 (PBE)

Data for a relaxed structure of Pa2Ge3Rh4.

The structure belongs to space group Cmce (No. 64); the cell edges are 5.711, 15.475 and 7.116 Å and the angles 90.00°, 90.00° and 90.00°. The asymmetric unit holds Pa at (0.000, 0.107, 0.092), Ge at (0.000, 0.000, 0.500), Ge at (0.250, 0.234, 0.750), Rh at (0.000, 0.169, 0.469) and Rh at (0.250, 0.069, 0.750).

As for the formation energy: -756 meV per atom. The total energy comes out at -7.673 eV per atom.

Entry 8:
## Pa2GeRh (PBE)

Data for a relaxed structure of Pa2GeRh.

The structure belongs to space group R-3m (No. 166, hexagonal axes); the cell edges are 3.1517, 3.1517 and 30.2019 Å and the angles 90.00°, 90.00° and 120.00°. The asymmetric unit holds Pa at (0.0000, 0.0000, 0.0837), Ge at (0.0000, 0.0000, 0.5000) and Rh at (0.0000, 0.0000, 0.0000).

The calculation puts the energy above the lowest structure with this stoichiometry at 528 meV/atom. As for the formation energy: -77 meV per atom. The total energy comes out at -7.817 eV per atom.

Entry 9:
## Pa4Ge6Rh7 (PBE)

Data for a relaxed structure of Pa4Ge6Rh7.

The structure belongs to space group Im-3m (No. 229); the cell edges are 8.452, 8.452 and 8.452 Å and the angles 90.00°, 90.00° and 90.00°. The asymmetric unit holds Pa at (0.250, 0.250, 0.250), Ge at (0.000, 0.000, 0.313), Rh at (0.000, 0.000, 0.000) and Rh at (0.000, 0.250, 0.500).

As for the formation energy: -765 meV per atom. The total energy comes out at -7.656 eV per atom.

Entry 10:
## PaGe2Rh3 (PBE)

Data for a relaxed structure of PaGe2Rh3.

The structure belongs to space group C2/m (No. 12); the cell edges are 16.647, 3.966 and 9.771 Å and the angles 90.00°, 107.81° and 90.00°. The asymmetric unit holds Pa at (0.000, 0.000, 0.000), Pa at (0.165, 0.000, 0.704), Ge at (0.041, 0.500, 0.773), Ge at (0.136, 0.500, 0.450), Ge at (0.192, 0.000, 0.123), Rh at (0.000, 0.500, 0.500), Rh at (0.044, 0.000, 0.328), Rh at (0.111, 0.500, 0.183), Rh at (0.180, 0.500, 0.951) and Rh at (0.221, 0.000, 0.388).

As for the formation energy: -749 meV per atom. The total energy comes out at -7.547 eV per atom.

Entry 11:
## Pa2Ge4Rh5 (PBE)

Data for a relaxed structure of Pa2Ge4Rh5.

The structure belongs to space group Fmmm (No. 69); the cell edges are 5.631, 9.567 and 14.673 Å and the angles 90.00°, 90.00° and 90.00°. The asymmetric unit holds Pa at (0.000, 0.000, 0.123), Ge at (0.000, 0.148, 0.366), Rh at (0.000, 0.000, 0.500), Rh at (0.250, 0.250, 0.000) and Rh at (0.250, 0.250, 0.250).

As for the formation energy: -574 meV per atom. The total energy comes out at -7.321 eV per atom.

Entry 12:
## PaGe2Rh4 (PBE)

Data for a relaxed structure of PaGe2Rh4.

The structure belongs to space group Pnma (No. 62); the cell edges are 17.057, 4.025 and 6.693 Å and the angles 90.00°, 90.00° and 90.00°. The asymmetric unit holds Pa at (0.136, 0.250, 0.007), Ge at (0.043, 0.750, 0.720), Ge at (0.221, 0.250, 0.491), Rh at (0.030, 0.750, 0.136), Rh at (0.076, 0.250, 0.492), Rh at (0.185, 0.750, 0.276) and Rh at (0.188, 0.750, 0.702).

As for the formation energy: -703 meV per atom. The total energy comes out at -7.579 eV per atom.